# 1
Material: NdDy6Er8
Method: DFT, GGA-PBE
State: relaxed

a b c (Å): 8.566 8.566 8.566
angles (deg): 63.25 63.25 63.25
Positions (direct):
1 Nd 0.000 0.000 0.000
2 Dy 0.110 0.227 0.538
3 Dy 0.227 0.538 0.110
4 Dy 0.462 0.890 0.773
5 Dy 0.538 0.110 0.227
6 Dy 0.773 0.462 0.890
7 Dy 0.890 0.773 0.462
8 Er 0.110 0.743 0.721
9 Er 0.257 0.279 0.890
10 Er 0.279 0.890 0.257
11 Er 0.424 0.424 0.424
12 Er 0.576 0.576 0.576
13 Er 0.721 0.110 0.743
14 Er 0.743 0.721 0.110
15 Er 0.890 0.257 0.279

## Properties
**Crystal system**: trigonal
**Formation energy**: 13.0 kJ/mol of atoms
**Total magnetic moment**: 0.00 Bohr magnetons per cell
**Volume**: 476.46 Å³ per cell
**Final energy**: -4.458 eV per atom
**Symmetry**: R-3, No. 148
**Density**: 8.56 g cm⁻³

---

# 2
Material: BaY2Mo
Method: DFT, GGA-PBE
State: relaxed

a b c (Å): 8.102 8.102 11.530
angles (deg): 90.00 90.00 90.00
Positions (direct):
1 Ba 0.000 0.250 0.375
2 Ba 0.000 0.750 0.625
3 Ba 0.500 0.250 0.125
4 Ba 0.500 0.750 0.875
5 Y 0.000 0.000 0.000
6 Y 0.000 0.500 0.000
7 Y 0.250 0.250 0.750
8 Y 0.250 0.750 0.250
9 Y 0.500 0.000 0.500
10 Y 0.500 0.500 0.500
11 Y 0.750 0.250 0.750
12 Y 0.750 0.750 0.250
13 Mo 0.000 0.250 0.875
14 Mo 0.000 0.750 0.125
15 Mo 0.500 0.250 0.625
16 Mo 0.500 0.750 0.375

## Properties
**Relative energy among the computed polymorphs**: 538 meV/atom
**Crystal system**: tetragonal
**Formation energy**: 84.8 kJ/mol of atoms
**Total magnetic moment**: 0.00 Bohr magnetons per cell
**Volume**: 756.91 Å³ per cell
**Final energy**: -5.541 eV per atom
**Symmetry**: I4_1/amd, No. 141
**Density**: 3.61 g cm⁻³

---

# 3
Material: Be3CoH
Method: DFT, GGA-PBE
State: relaxed

a b c (Å): 3.287 3.287 3.287
angles (deg): 90.00 90.00 90.00
Positions (direct):
1 Be 0.000 0.000 0.500
2 Be 0.000 0.500 0.000
3 Be 0.500 0.000 0.000
4 Co 0.500 0.500 0.500
5 H 0.000 0.000 0.000

## Properties
**Relative energy among the computed polymorphs**: 0 meV/atom
**Crystal system**: cubic
**Total magnetic moment**: 0.00 Bohr magnetons per cell
**Volume**: 35.50 Å³ per cell
**Final energy**: -4.366 eV per atom
**Symmetry**: Pm-3m, No. 221
**Density**: 4.07 g cm⁻³

---

# 4
Material: In2GaHgAu
Method: DFT, GGA-PBE
State: relaxed

a b c (Å): 5.451 5.451 4.957
angles (deg): 90.00 90.00 90.00
Positions (direct):
1 In 0.000 0.500 0.000
2 In 0.500 0.000 0.000
3 Ga 0.000 0.000 0.500
4 Hg 0.500 0.500 0.500
5 Au 0.000 0.000 0.000

## Properties
**Crystal system**: tetragonal
**Formation energy**: 7.2 kJ/mol of atoms
**Total magnetic moment**: 0.00 Bohr magnetons per cell
**Volume**: 147.30 Å³ per cell
**Final energy**: -2.342 eV per atom
**Symmetry**: P4/mmm, No. 123
**Density**: 7.86 g cm⁻³

---

# 5
Material: SiOsPb2W
Method: DFT, GGA-PBE
State: relaxed

a b c (Å): 5.204 5.204 4.912
angles (deg): 90.00 90.00 90.00
Positions (direct):
1 Si 0.000 0.000 0.000
2 Os 0.500 0.500 0.500
3 Pb 0.000 0.500 0.500
4 Pb 0.500 0.000 0.500
5 W 0.500 0.500 0.000

## Properties
**Relative energy among the computed polymorphs**: 0 meV/atom
**Crystal system**: tetragonal
**Total magnetic moment**: 1.49 Bohr magnetons per cell
**Volume**: 133.00 Å³ per cell
**Final energy**: -5.943 eV per atom
**Symmetry**: P4/mmm, No. 123
**Density**: 10.19 g cm⁻³

---

# 6
Material: LiCa2Cd
Method: DFT, GGA-PBE
State: relaxed

a b c (Å): 3.848 3.848 30.572
angles (deg): 90.00 90.00 120.00
Positions (direct):
1 Li 0.000 0.000 0.000
2 Li 0.333 0.667 0.667
3 Li 0.667 0.333 0.333
4 Ca 0.000 0.000 0.246
5 Ca 0.000 0.000 0.422
6 Ca 0.333 0.667 0.089
7 Ca 0.333 0.667 0.913
8 Ca 0.667 0.333 0.579
9 Ca 0.667 0.333 0.755
10 Cd 0.000 0.000 0.834
11 Cd 0.333 0.667 0.501
12 Cd 0.667 0.333 0.167

## Properties
**Relative energy among the computed polymorphs**: 154 meV/atom
**Crystal system**: trigonal
**Formation energy**: -3.7 kJ/mol of atoms
**Total magnetic moment**: 0.00 Bohr magnetons per cell
**Volume**: 392.12 Å³ per cell
**Final energy**: -1.746 eV per atom
**Symmetry**: R3m, No. 160
**Density**: 2.53 g cm⁻³